# 1
KMg2ReBr: optimized geometry, PBE.

Structure (extended XYZ):
```
5
Lattice="5.348 0.000 0.000 0.000 4.929 0.000 0.000 0.000 5.348" Properties=species:S:1:pos:R:3 pbc="T T T"
K 2.674 2.464 2.674
Mg 0.000 0.000 2.674
Mg 2.674 0.000 0.000
Br 0.000 2.464 0.000
Re 0.000 0.000 0.000
```

Calculated values
calculated density: 4.2 Mg/m³
VASP energy: -15.9 eV/f.u.
ΔE_f (raw): 493 meV/atom

=====

# 2
KMgRuBr6: optimized geometry, PBE.

Structure (extended XYZ):
```
9
Lattice="6.783 0.000 0.000 3.392 5.874 0.000 0.000 0.000 7.390" Properties=species:S:1:pos:R:3 pbc="T T T"
Br 5.625 2.206 5.163
Br 8.842 3.769 5.163
Br 7.685 5.773 2.226
Br 5.881 5.773 5.163
Br 4.723 3.768 2.226
Br 7.940 2.206 2.226
Ru 6.783 3.916 3.695
Mg 3.391 1.958 3.695
K 6.783 0.000 7.390
```

Calculated values
calculated density: 3.6 Mg/m³
VASP energy: -30.7 eV/f.u.
ΔE_f (raw): -969 meV/atom

=====

# 3
KMgSeBr2: optimized geometry, PBE.

Structure (extended XYZ):
```
5
Lattice="-3.698 -2.143 -3.942 -3.869 -1.065 4.208 -2.302 5.365 -0.758" Properties=species:S:1:pos:R:3 pbc="T T T"
Se -1.151 2.682 -0.379
Mg -4.934 1.078 -0.246
Br -1.849 -1.072 -1.971
Br -1.934 -0.533 2.104
K 0.000 0.000 0.000
```

Calculated values
calculated density: 2.5 Mg/m³
VASP energy: -9.7 eV/f.u.
ΔE_f (raw): -45 meV/atom
offset from the most stable computed form: 1063 meV per atom

=====

# 4
KMgSeBr2: optimized geometry, PBE.

Structure (extended XYZ):
```
5
Lattice="5.445 0.000 0.000 0.000 5.445 0.000 0.000 0.000 5.196" Properties=species:S:1:pos:R:3 pbc="T T T"
Br 0.000 2.723 0.000
Br 2.723 0.000 0.000
Mg 0.000 0.000 0.000
K 2.723 2.723 2.598
Se 0.000 0.000 2.598
```

Calculated values
calculated density: 3.3 Mg/m³
VASP energy: -15.1 eV/f.u.
ΔE_f (raw): -1109 meV/atom
offset from the most stable computed form: 0 meV per atom

=====

# 5
KSmMg2Br8: optimized geometry, PBE.

Structure (extended XYZ):
```
12
Lattice="6.887 0.035 -0.001 0.103 6.600 -0.003 0.012 0.016 8.546" Properties=species:S:1:pos:R:3 pbc="T T T"
Br 5.658 1.734 6.602
Br 4.651 4.815 -0.001
Br 2.529 1.901 4.273
Br 1.344 4.918 1.940
Br 5.648 1.721 1.940
Br 4.473 4.751 4.270
Br 1.354 4.930 6.603
Br 2.351 1.836 8.543
Mg 3.500 3.324 2.234
Mg 3.502 3.327 6.309
K 0.006 0.008 4.273
Sm 0.000 0.000 0.000
```

Calculated values
calculated density: 3.8 Mg/m³
VASP energy: -41.3 eV/f.u.
ΔE_f (raw): -1573 meV/atom

=====

# 6
K3Mg2SnBr9: optimized geometry, PBE.

Structure (extended XYZ):
```
15
Lattice="-4.964 -4.626 3.722 5.534 -3.057 -4.465 6.063 -0.297 7.718" Properties=species:S:1:pos:R:3 pbc="T T T"
Br -2.482 -2.313 1.861
Br 2.767 -1.528 -2.232
Br 3.697 -6.056 5.450
Br 3.418 -2.301 5.813
Br 3.214 -5.678 1.163
Br 2.936 -1.923 1.526
Br 5.640 -3.417 -0.656
Br 0.992 -4.562 7.632
Br 0.285 -3.841 -0.371
K 6.360 -3.791 3.770
K 0.273 -4.188 3.205
K 0.000 0.000 0.000
Mg 3.002 -3.627 -0.504
Mg 3.630 -4.352 7.480
Sn 3.032 -0.148 3.859
```

Calculated values
calculated density: 3.3 Mg/m³
VASP energy: -46.4 eV/f.u.
ΔE_f (raw): -1391 meV/atom

=====

# 7
K2MgSnBr6: optimized geometry, PBE.

Structure (extended XYZ):
```
20
Lattice="7.605 0.000 -0.035 0.000 7.957 0.000 0.016 0.000 10.943" Properties=species:S:1:pos:R:3 pbc="T T T"
Br 4.580 0.186 2.864
Br 3.041 7.771 8.043
Br 2.217 5.463 0.538
Br 2.425 5.663 4.889
Br 0.786 3.792 8.354
Br 1.593 1.484 4.915
Br 1.386 1.685 0.565
Br 5.404 2.494 10.369
Br 6.836 4.165 2.554
Br 6.028 6.473 5.992
Br 6.235 6.272 10.342
Br 5.197 2.294 6.019
K 4.007 4.582 8.165
K 0.196 7.354 2.711
K 7.425 0.603 8.196
K 3.615 3.375 2.742
Sn 0.008 3.979 5.471
Sn 3.803 0.000 -0.018
Mg 0.000 3.979 0.000
Mg 3.811 0.000 5.454
```

Calculated values
calculated density: 3.5 Mg/m³
VASP energy: -31.5 eV/f.u.
ΔE_f (raw): -1366 meV/atom

=====

# 8
KTbMg2Br8: optimized geometry, PBE.

Structure (extended XYZ):
```
12
Lattice="6.843 0.045 0.004 0.110 6.553 0.003 0.018 0.024 8.535" Properties=species:S:1:pos:R:3 pbc="T T T"
K 0.009 0.012 4.267
Br 4.647 4.805 0.008
Br 1.346 4.926 6.624
Br 5.639 1.716 6.623
Br 1.331 4.906 1.919
Br 2.520 1.892 4.271
Br 5.625 1.696 1.917
Br 2.323 1.817 8.533
Br 4.450 4.730 4.271
Tb 0.000 0.000 0.000
Mg 3.484 3.312 6.312
Mg 3.486 3.310 2.229
```

Calculated values
calculated density: 3.8 Mg/m³
VASP energy: -41.2 eV/f.u.
ΔE_f (raw): -1572 meV/atom

=====

# 9
K2MgTlBr5: optimized geometry, PBE.

Structure (extended XYZ):
```
9
Lattice="-1.743 -4.796 1.047 5.419 -2.976 -4.610 3.080 3.426 7.860" Properties=species:S:1:pos:R:3 pbc="T T T"
K 4.723 -4.155 1.783
K 2.034 -0.190 2.514
Br 0.000 0.000 0.000
Br 2.334 0.406 5.742
Br 1.684 -3.247 0.885
Br 5.073 -1.098 3.412
Br 4.423 -4.751 -1.445
Tl 2.710 -1.488 -2.305
Mg -0.871 -2.398 0.524
```

Calculated values
calculated density: 3.7 Mg/m³
VASP energy: -27.3 eV/f.u.
ΔE_f (raw): -1424 meV/atom

=====

# 10
K2MgTl3Br6: optimized geometry, PBE.

Structure (extended XYZ):
```
12
Lattice="-0.663 -3.427 -6.917 -5.044 -1.644 5.646 -2.678 7.980 -2.067" Properties=species:S:1:pos:R:3 pbc="T T T"
Tl -4.193 1.455 -1.669
Tl -2.796 0.886 -5.673
Tl -5.589 2.023 2.335
Br -5.143 -2.344 -1.461
Br -6.016 2.186 -4.441
Br -7.258 2.692 -0.880
Br -3.242 5.253 -1.876
Br -2.370 0.723 1.104
Br -1.128 0.218 -2.457
Mg 0.000 0.000 0.000
K -3.568 -2.245 1.411
K -2.140 -2.826 -2.682
```

Calculated values
calculated density: 4.7 Mg/m³
VASP energy: -34.5 eV/f.u.
ΔE_f (raw): -1130 meV/atom

=====

# 11
KMgTlBr6: optimized geometry, PBE.

Structure (extended XYZ):
```
18
Lattice="7.113 0.000 0.000 -3.556 6.160 0.000 0.000 0.000 14.658" Properties=species:S:1:pos:R:3 pbc="T T T"
Br 4.471 0.071 5.257
Br 1.382 2.252 5.257
Br -1.259 2.323 9.401
Br 2.297 3.837 2.072
Br 2.641 0.071 2.072
Br 4.815 3.837 5.257
Br 5.731 2.252 2.072
Br 1.259 2.323 12.586
Br -0.915 6.089 9.401
Br -2.174 3.908 12.586
Br 2.174 3.908 9.401
Br 0.915 6.089 12.586
Mg 0.000 4.106 10.994
Mg 3.556 2.053 3.665
K 0.000 0.000 0.000
K 0.000 0.000 7.329
Tl 0.000 4.106 3.665
Tl 3.556 2.053 10.994
```

Calculated values
calculated density: 3.9 Mg/m³
VASP energy: -24.9 eV/f.u.
ΔE_f (raw): -1093 meV/atom

=====

# 12
K3MgTl3Br8: optimized geometry, PBE.

Structure (extended XYZ):
```
15
Lattice="-3.235 -1.351 -8.664 -3.106 -5.318 7.030 -2.502 9.048 -0.477" Properties=species:S:1:pos:R:3 pbc="T T T"
K -2.804 1.865 3.277
K -4.422 1.189 -1.055
K -2.869 3.849 -4.570
Br -3.309 1.583 -6.990
Br -7.419 0.008 -0.169
Br -3.729 3.894 0.785
Br -5.534 0.795 4.879
Br -1.424 2.371 -1.942
Br -5.114 -1.516 -2.896
Br -5.814 3.075 -3.350
Br -3.030 -0.696 1.240
Mg -1.251 4.524 -0.238
Tl 0.000 0.000 0.000
Tl -1.553 -2.659 3.515
Tl -3.170 -3.335 -0.817
```

Calculated values
calculated density: 4.0 Mg/m³
VASP energy: -45.4 eV/f.u.
ΔE_f (raw): -1336 meV/atom